24
Lattice="-4.742 -3.725 3.753 4.631 -6.257 6.361 -2.401 4.831 8.482" Properties=species:S:1:pos:R:3 comment="In9Ag2Pb PBE-GGA relaxed" formation_enthalpy_0k_ev_per_atom=0.05 dos_ef_per_ev_fu=4.965 vol_a3_per_cell=628.2 spacegroup=I4_1/amd total_energy_ev_per_atom=-2.791 pbc="T T T"
In -2.442 -3.507 10.237
In 0.000 0.000 0.000
In -1.799 -6.069 15.581
In -3.335 -1.141 5.090
In -3.448 -1.038 8.410
In 0.686 -4.310 10.385
In -1.439 -5.297 12.734
In -0.824 0.342 5.665
In 3.206 -4.892 8.922
In -3.097 1.800 7.601
In -3.156 -2.589 13.252
In 0.893 -2.366 5.147
In -1.395 2.362 10.309
In 1.503 -5.454 6.213
In -3.516 -3.362 16.099
In -1.618 -3.849 4.572
In -1.017 -4.871 7.677
In -1.746 -0.476 11.118
Ag -4.793 -1.201 11.236
Ag -1.277 -6.745 10.176
Ag -3.592 -3.616 6.995
Ag -0.106 -2.466 12.540
Pb -2.371 -1.863 1.877
Pb -0.071 -1.644 8.360